[1]
ZrTa2N: optimized geometry, PBE.

Values from the calculation:
- Space group: P4/nmm (129)
- Total magnetization: 0.00 μB/f.u.

The structure in CIF format:
```
data_ZrTa2N
_cell_length_a 3.3365
_cell_length_b 3.3365
_cell_length_c 11.2455
_cell_angle_alpha 90.00
_cell_angle_beta 90.00
_cell_angle_gamma 90.00
_symmetry_space_group_name_H-M 'P 1'
_symmetry_Int_Tables_number 1
loop_
_symmetry_equiv_pos_as_xyz
'x,y,z'
loop_
_atom_site_label
_atom_site_fract_x
_atom_site_fract_y
_atom_site_fract_z
Zr1 0.2500 0.2500 0.0982
Zr2 0.7500 0.7500 0.9018
Ta1 0.2500 0.2500 0.4265
Ta2 0.2500 0.2500 0.7120
Ta3 0.7500 0.7500 0.2880
Ta4 0.7500 0.7500 0.5735
N1 0.2500 0.2500 0.8987
N2 0.7500 0.7500 0.1013
```



[2]
ZrTaN: optimized geometry, PBE.

Values from the calculation:
- Space group: P3m1 (156)
- Total magnetization: 0.00 μB/f.u.
- Offset from the most stable computed form: 0.089 eV/atom

The structure in CIF format:
```
data_ZrTaN
_cell_length_a 3.1859
_cell_length_b 3.1859
_cell_length_c 5.0821
_cell_angle_alpha 90.00
_cell_angle_beta 90.00
_cell_angle_gamma 120.00
_symmetry_space_group_name_H-M 'P 1'
_symmetry_Int_Tables_number 1
loop_
_symmetry_equiv_pos_as_xyz
'x,y,z'
loop_
_atom_site_label
_atom_site_fract_x
_atom_site_fract_y
_atom_site_fract_z
Zr1 0.0000 0.0000 0.0000
Ta1 0.6667 0.3333 0.4955
N1 0.3333 0.6667 0.7322
```



[3]
ZrTaN: optimized geometry, PBE.

Values from the calculation:
- Space group: P4/nmm (129)
- Total magnetization: 0.00 μB/f.u.
- Offset from the most stable computed form: 0.000 eV/atom

The structure in CIF format:
```
data_ZrTaN
_cell_length_a 3.3493
_cell_length_b 3.3493
_cell_length_c 7.8724
_cell_angle_alpha 90.00
_cell_angle_beta 90.00
_cell_angle_gamma 90.00
_symmetry_space_group_name_H-M 'P 1'
_symmetry_Int_Tables_number 1
loop_
_symmetry_equiv_pos_as_xyz
'x,y,z'
loop_
_atom_site_label
_atom_site_fract_x
_atom_site_fract_y
_atom_site_fract_z
Zr1 0.2500 0.2500 0.1430
Zr2 0.7500 0.7500 0.8570
Ta1 0.2500 0.2500 0.5890
Ta2 0.7500 0.7500 0.4110
N1 0.2500 0.2500 0.8581
N2 0.7500 0.7500 0.1419
```



[4]
ZrTa2N3: optimized geometry, PBE.

Values from the calculation:
- Space group: P6/mmm (191)
- Total magnetization: 0.00 μB/f.u.

The structure in CIF format:
```
data_ZrTa2N3
_cell_length_a 5.2769
_cell_length_b 5.2769
_cell_length_c 2.9907
_cell_angle_alpha 90.00
_cell_angle_beta 90.00
_cell_angle_gamma 120.00
_symmetry_space_group_name_H-M 'P 1'
_symmetry_Int_Tables_number 1
loop_
_symmetry_equiv_pos_as_xyz
'x,y,z'
loop_
_atom_site_label
_atom_site_fract_x
_atom_site_fract_y
_atom_site_fract_z
Zr1 0.0000 0.0000 0.0000
Ta1 0.3333 0.6667 0.5000
Ta2 0.6667 0.3333 0.5000
N1 0.0000 0.5000 0.0000
N2 0.5000 0.0000 0.0000
N3 0.5000 0.5000 0.0000
```



[5]
ZrTaN2: optimized geometry, PBE.

Values from the calculation:
- Space group: I-42d (122)
- Total magnetization: 0.00 μB/f.u.

The structure in CIF format:
```
data_ZrTaN2
_cell_length_a 5.9729
_cell_length_b 5.9729
_cell_length_c 5.9729
_cell_angle_alpha 131.91
_cell_angle_beta 131.91
_cell_angle_gamma 70.38
_symmetry_space_group_name_H-M 'P 1'
_symmetry_Int_Tables_number 1
loop_
_symmetry_equiv_pos_as_xyz
'x,y,z'
loop_
_atom_site_label
_atom_site_fract_x
_atom_site_fract_y
_atom_site_fract_z
Zr1 0.0000 0.0000 0.0000
Zr2 0.7500 0.2500 0.5000
Ta1 0.2500 0.7500 0.5000
Ta2 0.5000 0.5000 0.0000
N1 0.1488 0.6250 0.0238
N2 0.3750 0.3988 0.5238
N3 0.6012 0.1250 0.9762
N4 0.8750 0.8512 0.4762
```



[6]
TbN: optimized geometry, PBE.

Values from the calculation:
- Space group: Fm-3m (225)
- Total magnetization: 0.00 μB/f.u.

The structure in CIF format:
```
data_TbN
_cell_length_a 3.4985
_cell_length_b 3.4985
_cell_length_c 3.4985
_cell_angle_alpha 60.00
_cell_angle_beta 60.00
_cell_angle_gamma 60.00
_symmetry_space_group_name_H-M 'P 1'
_symmetry_Int_Tables_number 1
loop_
_symmetry_equiv_pos_as_xyz
'x,y,z'
loop_
_atom_site_label
_atom_site_fract_x
_atom_site_fract_y
_atom_site_fract_z
Tb1 0.0000 0.0000 0.0000
N1 0.5000 0.5000 0.5000
```



[7]
Tb5N4: optimized geometry, PBE.

Values from the calculation:
- Space group: I4/m (87)
- Total magnetization: 0.00 μB/f.u.
- Offset from the most stable computed form: 0.000 eV/atom

The structure in CIF format:
```
data_Tb5N4
_cell_length_a 7.0871
_cell_length_b 7.0871
_cell_length_c 7.0871
_cell_angle_alpha 93.61
_cell_angle_beta 93.61
_cell_angle_gamma 150.92
_symmetry_space_group_name_H-M 'P 1'
_symmetry_Int_Tables_number 1
loop_
_symmetry_equiv_pos_as_xyz
'x,y,z'
loop_
_atom_site_label
_atom_site_fract_x
_atom_site_fract_y
_atom_site_fract_z
Tb1 0.0000 0.0000 0.0000
Tb2 0.2407 0.4043 0.6450
Tb3 0.4043 0.7593 0.1636
Tb4 0.5957 0.2407 0.8364
Tb5 0.7593 0.5957 0.3550
N1 0.1226 0.2046 0.3272
N2 0.2046 0.8774 0.0819
N3 0.7954 0.1226 0.9181
N4 0.8774 0.7954 0.6728
```



[8]
Tb3N2: optimized geometry, PBE.

Values from the calculation:
- Space group: R-3m (166)
- Total magnetization: 0.00 μB/f.u.

The structure in CIF format:
```
data_Tb3N2
_cell_length_a 9.1410
_cell_length_b 9.1410
_cell_length_c 9.1410
_cell_angle_alpha 22.13
_cell_angle_beta 22.13
_cell_angle_gamma 22.13
_symmetry_space_group_name_H-M 'P 1'
_symmetry_Int_Tables_number 1
loop_
_symmetry_equiv_pos_as_xyz
'x,y,z'
loop_
_atom_site_label
_atom_site_fract_x
_atom_site_fract_y
_atom_site_fract_z
Tb1 0.0000 0.0000 0.0000
Tb2 0.2309 0.2309 0.2309
Tb3 0.7691 0.7691 0.7691
N1 0.3892 0.3892 0.3892
N2 0.6108 0.6108 0.6108
```



[9]
TbN4: optimized geometry, PBE.

Values from the calculation:
- Space group: Pm-3m (221)
- Total magnetization: 9.00 μB/f.u.
- Offset from the most stable computed form: 2.847 eV/atom

The structure in CIF format:
```
data_TbN4
_cell_length_a 4.7579
_cell_length_b 4.7579
_cell_length_c 4.7579
_cell_angle_alpha 90.00
_cell_angle_beta 90.00
_cell_angle_gamma 90.00
_symmetry_space_group_name_H-M 'P 1'
_symmetry_Int_Tables_number 1
loop_
_symmetry_equiv_pos_as_xyz
'x,y,z'
loop_
_atom_site_label
_atom_site_fract_x
_atom_site_fract_y
_atom_site_fract_z
Tb1 0.0000 0.0000 0.0000
N1 0.0000 0.0000 0.5000
N2 0.0000 0.5000 0.0000
N3 0.5000 0.0000 0.0000
N4 0.5000 0.5000 0.5000
```



[10]
Tb6N5: optimized geometry, PBE.

Values from the calculation:
- Space group: C2/m (12)
- Total magnetization: 0.00 μB/f.u.

The structure in CIF format:
```
data_Tb6N5
_cell_length_a 6.0856
_cell_length_b 6.0856
_cell_length_c 6.0902
_cell_angle_alpha 99.70
_cell_angle_beta 99.70
_cell_angle_gamma 119.92
_symmetry_space_group_name_H-M 'P 1'
_symmetry_Int_Tables_number 1
loop_
_symmetry_equiv_pos_as_xyz
'x,y,z'
loop_
_atom_site_label
_atom_site_fract_x
_atom_site_fract_y
_atom_site_fract_z
Tb1 0.0670 0.4155 0.7466
Tb2 0.2379 0.2379 0.2618
Tb3 0.4155 0.0670 0.7466
Tb4 0.5845 0.9330 0.2534
Tb5 0.7621 0.7621 0.7382
Tb6 0.9330 0.5845 0.2534
N1 0.0000 0.0000 0.5000
N2 0.1662 0.8338 0.0000
N3 0.3303 0.6697 0.5000
N4 0.6697 0.3303 0.5000
N5 0.8338 0.1662 0.0000
```



| no. | volume (Å³ per cell) | ΔE_f (raw) (meV/atom) |
| --- | --- | --- |
| 1 | 125.2 | -829 |
| 2 | 44.7 | -1020 |
| 3 | 88.3 | -1109 |
| 4 | 72.1 | -1020 |
| 5 | 115.7 | -1056 |
| 6 | 30.3 | -1662 |
| 7 | 167.4 | -1175 |
| 8 | 95.0 | -1296 |
| 9 | 107.7 | 2555 |
| 10 | 184.1 | -1518 |